w.
Material: LiAg4Au
Method: DFT, PBE
State: relaxed

Cell lengths 7.727, 7.727, 7.727 Å; angles 90.00, 90.00, 90.00 degrees
Space group F-43m (No. 216)
One atom of each set of equivalent atoms:
1 Li 0.000 0.000 0.000
2 Ag 0.125 0.125 0.625
3 Au 0.250 0.250 0.250


x.
Material: LiAg4Au
Method: DFT, PBE
State: relaxed

Cell lengths 5.399, 7.915, 5.653 Å; angles 90.00, 116.84, 90.00 degrees
Space group C2/m (No. 12)
One atom of each set of equivalent atoms:
1 Li 0.000 0.000 0.000
2 Ag 0.003 0.317 0.754
3 Au 0.000 0.000 0.500


y.
Material: LiAg4Au
Method: DFT, PBE
State: relaxed

Cell lengths 9.246, 4.103, 5.811 Å; angles 90.00, 109.38, 90.00 degrees
Space group C2/m (No. 12)
One atom of each set of equivalent atoms:
1 Li 0.000 0.000 0.000
2 Ag 0.165 0.500 0.327
3 Ag 0.166 0.500 0.835
4 Au 0.000 0.000 0.500


According to the calculations, the structures order from most to least stable as y, x, w.


w.
Material: Li2AgAu4
Method: DFT, PBE
State: relaxed

Cell lengths 4.432, 10.621, 5.514 Å; angles 90.00, 90.40, 90.00 degrees
Space group P2_1/c (No. 14)
One atom of each set of equivalent atoms:
1 Li 0.003 0.113 0.169
2 Ag 0.500 0.000 0.500
3 Au 0.001 0.133 0.663
4 Au 0.498 0.735 0.588


x.
Material: Li2AgAu4
Method: DFT, PBE
State: relaxed

Cell lengths 5.228, 5.228, 10.665 Å; angles 90.00, 90.00, 90.00 degrees
Space group I4/mmm (No. 139)
One atom of each set of equivalent atoms:
1 Li 0.000 0.000 0.156
2 Ag 0.000 0.000 0.500
3 Au 0.000 0.500 0.000
4 Au 0.000 0.500 0.250


According to the calculations, the structures order from most to least stable as w, x.